No. 1
Material: CsNaHg3
Method: DFT, PBE-GGA
State: relaxed

Summary:
Raw total energy = -0.75 eV per atom
Crystal system = cubic
Energy above the lowest structure with this stoichiometry = 0.054 eV per atom
DFT formation energy = -0.13 eV per atom

Lattice parameters (Å, degrees): 5.918 5.918 5.918 90.00 90.00 90.00
Element x y z (fractional)
Cs 0.000 0.000 0.000
Na 0.500 0.500 0.500
Hg 0.000 0.500 0.500
Hg 0.500 0.000 0.500
Hg 0.500 0.500 0.000

No. 2
Material: Cs5Na6Hg
Method: DFT, PBE-GGA
State: relaxed

Summary:
Raw total energy = -1.04 eV per atom
Crystal system = monoclinic
DFT formation energy = 0.01 eV per atom

Lattice parameters (Å, degrees): 10.532 10.532 10.289 98.70 98.70 131.86
Element x y z (fractional)
Cs 0.000 0.000 0.000
Cs 0.296 0.704 0.000
Cs 0.366 0.634 0.500
Cs 0.634 0.366 0.500
Cs 0.704 0.296 0.000
Na 0.099 0.817 0.324
Na 0.183 0.901 0.676
Na 0.347 0.347 0.793
Na 0.653 0.653 0.207
Na 0.817 0.099 0.324
Na 0.901 0.183 0.676
Hg 0.000 0.000 0.500

No. 3
Material: CsNa2Hg2
Method: DFT, PBE-GGA
State: relaxed

Summary:
Raw total energy = -0.97 eV per atom
Crystal system = tetragonal
Energy above the lowest structure with this stoichiometry = 0.035 eV per atom
DFT formation energy = -0.16 eV per atom

Lattice parameters (Å, degrees): 9.478 9.478 3.964 90.00 90.00 90.00
Element x y z (fractional)
Cs 0.000 0.000 0.000
Cs 0.500 0.500 0.000
Na 0.155 0.345 0.500
Na 0.345 0.845 0.500
Na 0.655 0.155 0.500
Na 0.845 0.655 0.500
Hg 0.121 0.621 0.000
Hg 0.379 0.121 0.000
Hg 0.621 0.879 0.000
Hg 0.879 0.379 0.000

No. 4
Material: Cs8Na2Hg
Method: DFT, PBE-GGA
State: relaxed

Summary:
Raw total energy = -0.92 eV per atom
Crystal system = monoclinic
Energy above the lowest structure with this stoichiometry = 0.000 eV per atom
DFT formation energy = -0.03 eV per atom

Lattice parameters (Å, degrees): 13.451 13.451 9.896 106.79 106.79 32.24
Element x y z (fractional)
Cs 0.020 0.020 0.288
Cs 0.208 0.208 0.790
Cs 0.351 0.351 0.545
Cs 0.408 0.408 0.078
Cs 0.592 0.592 0.922
Cs 0.649 0.649 0.455
Cs 0.792 0.792 0.210
Cs 0.980 0.980 0.712
Na 0.182 0.182 0.214
Na 0.818 0.818 0.786
Hg 0.500 0.500 0.500

No. 5
Material: CsNa5Hg6
Method: DFT, PBE-GGA
State: relaxed

Summary:
Raw total energy = -0.99 eV per atom
Crystal system = monoclinic
DFT formation energy = -0.21 eV per atom

Lattice parameters (Å, degrees): 5.926 7.660 8.582 90.00 107.28 90.00
Element x y z (fractional)
Cs 0.000 0.000 0.000
Na 0.000 0.500 0.000
Na 0.235 0.500 0.672
Na 0.315 0.000 0.639
Na 0.685 0.000 0.361
Na 0.765 0.500 0.328
Hg 0.273 0.299 0.350
Hg 0.273 0.701 0.350
Hg 0.500 0.296 0.000
Hg 0.500 0.704 0.000
Hg 0.727 0.299 0.650
Hg 0.727 0.701 0.650

No. 6
Material: Cs4NaHg2
Method: DFT, PBE-GGA
State: relaxed

Summary:
Raw total energy = -0.83 eV per atom
Crystal system = triclinic
Energy above the lowest structure with this stoichiometry = 0.000 eV per atom
DFT formation energy = -0.07 eV per atom

Lattice parameters (Å, degrees): 5.957 9.859 9.889 85.10 72.71 72.85
Element x y z (fractional)
Cs 0.091 0.164 0.156
Cs 0.252 0.656 0.336
Cs 0.748 0.344 0.664
Cs 0.909 0.836 0.844
Na 0.500 0.000 0.500
Hg 0.251 0.501 0.998
Hg 0.749 0.499 0.002

No. 7
Material: CsNa3Hg
Method: DFT, PBE-GGA
State: relaxed

Summary:
Raw total energy = -1.09 eV per atom
Crystal system = cubic
Energy above the lowest structure with this stoichiometry = 0.043 eV per atom
DFT formation energy = -0.07 eV per atom

Lattice parameters (Å, degrees): 6.129 6.129 6.129 90.00 90.00 90.00
Element x y z (fractional)
Cs 0.000 0.000 0.000
Na 0.000 0.500 0.500
Na 0.500 0.000 0.500
Na 0.500 0.500 0.000
Hg 0.500 0.500 0.500

No. 8
Material: CsNa9Hg3
Method: DFT, PBE-GGA
State: relaxed

Summary:
Raw total energy = -1.16 eV per atom
Crystal system = monoclinic
DFT formation energy = -0.11 eV per atom

Lattice parameters (Å, degrees): 9.025 9.025 8.737 97.41 97.41 138.05
Element x y z (fractional)
Cs 0.000 0.000 0.000
Na 0.000 0.000 0.500
Na 0.008 0.647 0.660
Na 0.288 0.520 0.780
Na 0.353 0.992 0.340
Na 0.480 0.712 0.220
Na 0.520 0.288 0.780
Na 0.647 0.008 0.660
Na 0.712 0.480 0.220
Na 0.992 0.353 0.340
Hg 0.000 0.500 0.000
Hg 0.500 0.000 0.000
Hg 0.500 0.500 0.500

No. 9
Material: Cs4Na3Hg2
Method: DFT, PBE-GGA
State: relaxed

Summary:
Raw total energy = -1.00 eV per atom
Crystal system = monoclinic
DFT formation energy = -0.11 eV per atom

Lattice parameters (Å, degrees): 10.791 10.791 9.789 108.10 108.10 28.61
Element x y z (fractional)
Cs 0.076 0.076 0.356
Cs 0.269 0.269 0.816
Cs 0.731 0.731 0.184
Cs 0.924 0.924 0.644
Na 0.405 0.405 0.248
Na 0.500 0.500 0.000
Na 0.595 0.595 0.752
Hg 0.101 0.101 0.959
Hg 0.899 0.899 0.041

No. 10
Material: CsNa8Hg4
Method: DFT, PBE-GGA
State: relaxed

Summary:
Raw total energy = -1.13 eV per atom
Crystal system = tetragonal
DFT formation energy = -0.16 eV per atom

Lattice parameters (Å, degrees): 8.670 8.670 8.670 97.84 97.84 136.65
Element x y z (fractional)
Cs 0.000 0.000 0.000
Na 0.000 0.345 0.345
Na 0.000 0.655 0.655
Na 0.274 0.500 0.774
Na 0.345 0.000 0.345
Na 0.500 0.274 0.774
Na 0.500 0.726 0.226
Na 0.655 0.000 0.655
Na 0.726 0.500 0.226
Hg 0.000 0.000 0.500
Hg 0.000 0.500 0.000
Hg 0.500 0.000 0.000
Hg 0.500 0.500 0.500

No. 11
Material: Cs2Na2Hg15
Method: DFT, PBE-GGA
State: relaxed

Summary:
Raw total energy = -0.64 eV per atom
Crystal system = trigonal
DFT formation energy = -0.17 eV per atom

Lattice parameters (Å, degrees): 8.581 8.581 8.581 77.81 77.81 77.81
Element x y z (fractional)
Cs 0.159 0.159 0.159
Cs 0.841 0.841 0.841
Na 0.403 0.403 0.403
Na 0.597 0.597 0.597
Hg 0.000 0.500 0.500
Hg 0.140 0.140 0.643
Hg 0.140 0.643 0.140
Hg 0.211 0.500 0.789
Hg 0.211 0.789 0.500
Hg 0.357 0.860 0.860
Hg 0.500 0.000 0.500
Hg 0.500 0.211 0.789
Hg 0.500 0.500 0.000
Hg 0.500 0.789 0.211
Hg 0.643 0.140 0.140
Hg 0.789 0.211 0.500
Hg 0.789 0.500 0.211
Hg 0.860 0.357 0.860
Hg 0.860 0.860 0.357

No. 12
Material: CsNa2Hg2
Method: DFT, PBE-GGA
State: relaxed

Summary:
Raw total energy = -0.97 eV per atom
Crystal system = tetragonal
Energy above the lowest structure with this stoichiometry = 0.037 eV per atom
DFT formation energy = -0.15 eV per atom

Lattice parameters (Å, degrees): 9.600 9.600 3.725 90.00 90.00 90.00
Element x y z (fractional)
Cs 0.000 0.000 0.000
Cs 0.500 0.500 0.000
Na 0.123 0.377 0.000
Na 0.377 0.877 0.000
Na 0.623 0.123 0.000
Na 0.877 0.623 0.000
Hg 0.165 0.665 0.500
Hg 0.335 0.165 0.500
Hg 0.665 0.835 0.500
Hg 0.835 0.335 0.500

No. 13
Material: CsNa5Hg3
Method: DFT, PBE-GGA
State: relaxed

Summary:
Raw total energy = -1.09 eV per atom
Crystal system = orthorhombic
DFT formation energy = -0.16 eV per atom

Lattice parameters (Å, degrees): 8.787 8.787 15.566 90.00 90.00 147.06
Element x y z (fractional)
Cs 0.166 0.834 0.750
Cs 0.834 0.166 0.250
Na 0.000 0.000 0.000
Na 0.000 0.000 0.500
Na 0.198 0.802 0.059
Na 0.198 0.802 0.441
Na 0.446 0.554 0.643
Na 0.446 0.554 0.857
Na 0.554 0.446 0.143
Na 0.554 0.446 0.357
Na 0.802 0.198 0.559
Na 0.802 0.198 0.941
Hg 0.120 0.880 0.250
Hg 0.384 0.616 0.050
Hg 0.384 0.616 0.450
Hg 0.616 0.384 0.550
Hg 0.616 0.384 0.950
Hg 0.880 0.120 0.750

No. 14
Material: CsNa7Hg5
Method: DFT, PBE-GGA
State: relaxed

Summary:
Raw total energy = -1.07 eV per atom
Crystal system = orthorhombic
DFT formation energy = -0.18 eV per atom

Lattice parameters (Å, degrees): 8.572 8.572 8.572 136.53 97.31 98.45
Element x y z (fractional)
Cs 0.000 0.000 0.000
Na 0.220 0.506 0.714
Na 0.332 0.982 0.350
Na 0.334 0.334 0.000
Na 0.632 0.982 0.650
Na 0.646 0.646 0.000
Na 0.764 0.264 0.500
Na 0.792 0.506 0.286
Hg 0.213 0.713 0.500
Hg 0.506 0.004 0.011
Hg 0.506 0.495 0.501
Hg 0.993 0.004 0.499
Hg 0.993 0.495 0.989

No. 15
Material: Cs2Na5Hg2
Method: DFT, PBE-GGA
State: relaxed

Summary:
Raw total energy = -1.04 eV per atom
Crystal system = tetragonal
DFT formation energy = -0.05 eV per atom

Lattice parameters (Å, degrees): 5.473 5.473 13.450 90.00 90.00 90.00
Element x y z (fractional)
Cs 0.000 0.000 0.000
Cs 0.000 0.000 0.500
Na 0.000 0.500 0.243
Na 0.000 0.500 0.757
Na 0.500 0.000 0.243
Na 0.500 0.000 0.757
Na 0.500 0.500 0.000
Hg 0.500 0.500 0.381
Hg 0.500 0.500 0.619

No. 16
Material: Cs3Na4Hg
Method: DFT, PBE-GGA
State: relaxed

Summary:
Raw total energy = -1.06 eV per atom
Crystal system = orthorhombic
DFT formation energy = -0.05 eV per atom

Lattice parameters (Å, degrees): 7.404 15.595 8.253 90.00 90.00 90.00
Element x y z (fractional)
Cs 0.250 0.013 0.193
Cs 0.250 0.487 0.193
Cs 0.250 0.750 0.544
Cs 0.750 0.250 0.456
Cs 0.750 0.513 0.807
Cs 0.750 0.987 0.807
Na 0.002 0.250 0.985
Na 0.250 0.135 0.656
Na 0.250 0.365 0.656
Na 0.498 0.250 0.985
Na 0.502 0.750 0.015
Na 0.750 0.635 0.344
Na 0.750 0.865 0.344
Na 0.998 0.750 0.015
Hg 0.250 0.250 0.322
Hg 0.750 0.750 0.678

No. 17
Material: Cs3NaHg2
Method: DFT, PBE-GGA
State: relaxed

Summary:
Raw total energy = -0.90 eV per atom
Crystal system = monoclinic
Energy above the lowest structure with this stoichiometry = 0.000 eV per atom
DFT formation energy = -0.16 eV per atom

Lattice parameters (Å, degrees): 7.732 15.086 12.656 90.00 109.02 90.00
Element x y z (fractional)
Cs 0.159 0.226 0.327
Cs 0.159 0.274 0.827
Cs 0.229 0.597 0.981
Cs 0.229 0.903 0.481
Cs 0.280 0.559 0.600
Cs 0.280 0.941 0.100
Cs 0.720 0.059 0.900
Cs 0.720 0.441 0.400
Cs 0.771 0.097 0.519
Cs 0.771 0.403 0.019
Cs 0.841 0.726 0.173
Cs 0.841 0.774 0.673
Na 0.436 0.686 0.335
Na 0.436 0.814 0.835
Na 0.564 0.186 0.165
Na 0.564 0.314 0.665
Hg 0.180 0.503 0.274
Hg 0.180 0.997 0.774
Hg 0.330 0.129 0.632
Hg 0.330 0.371 0.132
Hg 0.670 0.629 0.868
Hg 0.670 0.871 0.368
Hg 0.820 0.003 0.226
Hg 0.820 0.497 0.726

No. 18
Material: CsNaHg4
Method: DFT, PBE-GGA
State: relaxed

Summary:
Raw total energy = -0.83 eV per atom
Crystal system = hexagonal
Energy above the lowest structure with this stoichiometry = 0.000 eV per atom
DFT formation energy = -0.27 eV per atom

Lattice parameters (Å, degrees): 5.332 5.332 8.344 90.00 90.00 120.00
Element x y z (fractional)
Cs 0.000 0.000 0.000
Na 0.000 0.000 0.500
Hg 0.333 0.667 0.311
Hg 0.333 0.667 0.689
Hg 0.667 0.333 0.311
Hg 0.667 0.333 0.689

No. 19
Material: Cs2Na5Hg
Method: DFT, PBE-GGA
State: relaxed

Summary:
Raw total energy = -1.08 eV per atom
Crystal system = orthorhombic
Energy above the lowest structure with this stoichiometry = 0.011 eV per atom
DFT formation energy = 0.00 eV per atom

Lattice parameters (Å, degrees): 9.824 8.994 7.243 73.57 61.42 45.01
Element x y z (fractional)
Cs 0.000 0.000 0.500
Cs 0.500 0.500 0.000
Na 0.024 0.562 0.976
Na 0.127 0.127 0.873
Na 0.500 0.986 0.014
Na 0.562 0.024 0.438
Na 0.986 0.500 0.500
Hg 0.625 0.625 0.375

No. 20
Material: CsNa10Hg2
Method: DFT, PBE-GGA
State: relaxed

Summary:
Raw total energy = -1.21 eV per atom
Crystal system = orthorhombic
DFT formation energy = -0.08 eV per atom

Lattice parameters (Å, degrees): 9.002 9.002 11.713 90.00 90.00 98.69
Element x y z (fractional)
Cs 0.121 0.879 0.750
Cs 0.879 0.121 0.250
Na 0.119 0.409 0.750
Na 0.174 0.826 0.095
Na 0.174 0.826 0.405
Na 0.226 0.226 0.000
Na 0.226 0.226 0.500
Na 0.236 0.474 0.250
Na 0.385 0.615 0.560
Na 0.385 0.615 0.940
Na 0.409 0.119 0.250
Na 0.474 0.236 0.750
Na 0.526 0.764 0.250
Na 0.591 0.881 0.750
Na 0.615 0.385 0.060
Na 0.615 0.385 0.440
Na 0.764 0.526 0.750
Na 0.774 0.774 0.000
Na 0.774 0.774 0.500
Na 0.826 0.174 0.595
Na 0.826 0.174 0.905
Na 0.881 0.591 0.250
Hg 0.000 0.500 0.000
Hg 0.000 0.500 0.500
Hg 0.500 0.000 0.000
Hg 0.500 0.000 0.500